This record from the Alexandria database describes a relaxed structure of Mn3In2F8. The functional is GGA+U.

- Energy: -5.655 eV per atom
- Mass density: 3666 kg/m3

a = 14.010 Å, b = 6.588 Å, c = 5.684 Å
α = 90.00°, β = 109.36°, γ = 90.00°
Space group C2/m (No. 12)
One atom of each set of equivalent atoms:
Mn (0.000, 0.000, 0.000) (multiplicity 2)
Mn (0.000, 0.256, 0.500) (multiplicity 4)
In (0.193, 0.500, 0.155) (multiplicity 4)
F (0.078, 0.000, 0.397) (multiplicity 4)
F (0.083, 0.236, 0.891) (multiplicity 8)
F (0.090, 0.500, 0.439) (multiplicity 4)